(1)
A PBEsol-optimized structure of Ca2TlHg, computed with meta-GGA SCAN.

Results
Total magnetic moment   0.000 μB per cell
Raw total energy   -40.280 eV/atom
Formation enthalpy at 0 K   -1.27 eV per formula unit

Lattice parameters (Å, degrees): 7.493 7.493 7.493 90.00 90.00 90.00
Space group F-43m (No. 216)
Unique sites:
Ca 0.000 0.000 0.000 x4
Ca 0.250 0.250 0.250 x4
Tl 0.250 0.250 0.750 x4
Hg 0.000 0.000 0.500 x4

=====

(2)
A PBEsol-optimized structure of Cu2SiNi, computed with meta-GGA SCAN.

Results
Total magnetic moment   0.000 μB per cell
Raw total energy   -14.350 eV/atom

Lattice parameters (Å, degrees): 3.571 3.571 6.919 90.00 90.00 90.00
Space group I-4m2 (No. 119)
Unique sites:
Cu 0.000 0.000 0.000 x2
Cu 0.000 0.500 0.250 x2
Si 0.000 0.000 0.500 x2
Ni 0.000 0.500 0.750 x2

=====

(3)
A PBEsol-optimized structure of Fe2ReRu, computed with meta-GGA SCAN.

Results
Total magnetic moment   11.002 μB per cell
Raw total energy   -35.533 eV/atom
Formation enthalpy at 0 K   0.05 eV per formula unit

Lattice parameters (Å, degrees): 2.939 4.120 8.246 90.00 90.00 90.00
Space group Imm2 (No. 44)
Unique sites:
Fe 0.000 0.000 0.000 x2
Fe 0.000 0.500 0.274 x2
Re 0.000 0.500 0.750 x2
Ru 0.000 0.000 0.518 x2

=====

(4)
A PBEsol-optimized structure of TaInCo2, computed with meta-GGA SCAN.

Results
Total magnetic moment   0.803 μB per cell
Raw total energy   -33.427 eV/atom
Formation enthalpy at 0 K   0.87 eV per formula unit

Lattice parameters (Å, degrees): 3.250 3.250 5.583 90.00 90.00 90.00
Space group P4mm (No. 99)
Unique sites:
Ta 0.000 0.000 0.000 x1
In 0.500 0.500 0.645 x1
Co 0.000 0.000 0.419 x1
Co 0.500 0.500 0.159 x1

=====

(5)
A PBEsol-optimized structure of CrCd2TeRh, computed with meta-GGA SCAN.

Results
Total magnetic moment   5.353 μB per cell
Raw total energy   -28.834 eV/atom

Lattice parameters (Å, degrees): 5.282 5.282 4.839 90.00 90.00 90.00
Space group P4/mmm (No. 123)
Unique sites:
Cr 0.000 0.000 0.000 x1
Cd 0.000 0.500 0.500 x2
Te 0.000 0.000 0.500 x1
Rh 0.500 0.500 0.000 x1

=====

(6)
A PBEsol-optimized structure of Sc2Zn, computed with meta-GGA SCAN.

Results
Total magnetic moment   0.000 μB per cell
Raw total energy   -14.108 eV/atom
Formation enthalpy at 0 K   -0.34 eV per formula unit

Lattice parameters (Å, degrees): 4.6277 4.6277 3.2179 90.00 90.00 120.00
Space group P-3m1 (No. 164)
Unique sites:
Sc 0.3333 0.6667 0.2165 x2
Zn 0.0000 0.0000 0.5000 x1

=====

(7)
A PBEsol-optimized structure of Mg2Sc, computed with meta-GGA SCAN.

Results
Total magnetic moment   0.351 μB per cell
Raw total energy   -8.034 eV/atom
Formation enthalpy at 0 K   0.08 eV per formula unit

Lattice parameters (Å, degrees): 3.073 4.790 9.232 90.00 90.00 90.00
Space group Immm (No. 71)
Unique sites:
Mg 0.000 0.000 0.165 x4
Sc 0.000 0.000 0.500 x2

=====

(8)
A PBEsol-optimized structure of Cr2PtW, computed with meta-GGA SCAN.

Results
Polymorph energy (0 for the lowest one)   143 meV per atom
Total magnetic moment   0.008 μB per cell
Raw total energy   -44.059 eV/atom
Formation enthalpy at 0 K   0.41 eV per formula unit

Lattice parameters (Å, degrees): 2.599 3.772 5.482 90.00 90.00 90.00
Space group Pmmm (No. 47)
Unique sites:
Cr 0.000 0.000 0.241 x2
Pt 0.500 0.500 0.000 x1
W 0.500 0.500 0.500 x1

=====

(9)
A PBEsol-optimized structure of TiSbI2N, computed with meta-GGA SCAN.

Results
Total magnetic moment   1.586 μB per cell
Raw total energy   -26.293 eV/atom

Lattice parameters (Å, degrees): 4.805 4.805 4.717 90.00 90.00 90.00
Space group P4/mmm (No. 123)
Unique sites:
Ti 0.000 0.000 0.000 x1
Sb 0.500 0.500 0.000 x1
I 0.000 0.500 0.500 x2
N 0.500 0.500 0.500 x1

=====

(10)
A PBEsol-optimized structure of RbMnIn3, computed with meta-GGA SCAN.

Results
Total magnetic moment   4.636 μB per cell
Raw total energy   -26.515 eV/atom
Formation enthalpy at 0 K   6.58 eV per formula unit

Lattice parameters (Å, degrees): 5.959 5.959 5.959 90.00 90.00 90.00
Space group Pm-3m (No. 221)
Unique sites:
Rb 0.000 0.000 0.000 x1
Mn 0.500 0.500 0.500 x1
In 0.000 0.000 0.500 x3

=====

(11)
A PBEsol-optimized structure of Tl2CrC, computed with meta-GGA SCAN.

Results
Total magnetic moment   16.589 μB per cell
Raw total energy   -41.769 eV/atom
Formation enthalpy at 0 K   6.13 eV per formula unit

Lattice parameters (Å, degrees): 6.635 6.635 6.635 90.00 90.00 90.00
Space group Fm-3m (No. 225)
Unique sites:
Tl 0.250 0.250 0.250 x8
Cr 0.000 0.000 0.000 x4
C 0.000 0.000 0.500 x4

=====

(12)
A PBEsol-optimized structure of AlNiHg, computed with meta-GGA SCAN.

Results
Total magnetic moment   0.000 μB per cell
Raw total energy   -30.770 eV/atom
Formation enthalpy at 0 K   -0.22 eV per formula unit

Lattice parameters (Å, degrees): 5.874 5.874 5.874 90.00 90.00 90.00
Space group F-43m (No. 216)
Unique sites:
Al 0.000 0.000 0.000 x4
Ni 0.250 0.250 0.750 x4
Hg 0.000 0.000 0.500 x4